! Ti2Te5 PBE relaxed; values from VASP
&SYSTEM
  ibrav = 0, nat = 14, ntyp = 2
/
ATOMIC_SPECIES
Ti 47.87 Ti.upf
Te 127.60 Te.upf
CELL_PARAMETERS angstrom
7.592 -3.439 0.000
7.592 3.439 0.000
-1.840 0.000 7.019
ATOMIC_POSITIONS angstrom
Ti 4.196 1.922 6.422
Ti 8.228 1.922 4.106
Ti 5.116 -1.922 2.913
Ti 9.148 -1.922 0.597
Te 7.132 3.094 1.755
Te 1.748 0.504 5.870
Te 2.668 -0.504 2.360
Te 5.197 0.640 4.123
Te 7.227 0.640 6.405
Te 6.117 -0.640 0.614
Te 8.148 -0.640 2.896
Te 10.677 0.504 4.659
Te 11.597 -0.504 1.149
Te 6.212 -3.094 5.264
! Uncorrected energy in eV per atom: -4.95
! Energy relative to the elements, uncorrected in eV per atom: -0.445